No. 1
VASP calculation (GGA-PBE) on LiSb3 after structural relaxation.

Lattice parameters (Å, degrees): 3.1996 5.9735 5.5657 90.00 90.00 90.00
Closest atoms and distances in Å follow each position.
Sites, in units of the cell vectors:
Sb 0.0000 0.5000 0.1967  2 Li 3.00, 6 Sb 3.11-3.31
Sb 0.5000 0.0000 0.6162  4 Sb 3.04-3.20, 4 Li 3.11-3.31
Sb 0.5000 0.5000 0.7165  8 Sb 3.04-3.31
Li 0.0000 0.0000 0.1373  6 Sb 3.00-3.31, 2 Li 3.20

Summary:
formation energy from raw total energies	-0.033	eV/atom
E_tot	-3.603	eV/atom

No. 2
VASP calculation (GGA-PBE) on LiAc4In2 after structural relaxation.

Lattice parameters (Å, degrees): 3.9269 9.3383 8.8113 121.59 102.88 90.00
Closest atoms and distances in Å follow each position.
Sites, in units of the cell vectors:
In 0.2016 0.1751 0.4032  1 Li 2.93
In 0.7984 0.8249 0.5968  1 Li 2.93
Ac 0.8886 0.2510 0.7773  3 In 3.41-3.50, 1 Li 3.74
Ac 0.1114 0.7490 0.2227  3 In 3.41-3.50, 1 Li 3.74
Ac 0.6269 0.3849 0.2537  3 In 3.47-3.54, 2 Li 3.62
Ac 0.3731 0.6151 0.7463  3 In 3.47-3.54, 2 Li 3.62
Li 0.0000 0.0000 0.0000  2 In 2.93

Summary:
E_form	-67	kJ/mol of formula units
E_tot	-3.502	eV/atom

No. 3
VASP calculation (GGA-PBE) on NaSr4Pb2 after structural relaxation.

Lattice parameters (Å, degrees): 5.8061 5.8061 9.9797 73.09 73.09 60.00
Closest atoms and distances in Å follow each position.
Sites, in units of the cell vectors:
Sr 0.1294 0.1294 0.6119  4 Pb 3.49-3.63, 1 Na 3.65
Sr 0.6191 0.6191 0.1426  4 Pb 3.48-3.60, 3 Na 3.61
Sr 0.3809 0.3809 0.8574  4 Pb 3.48-3.60, 3 Na 3.61
Sr 0.8706 0.8706 0.3881  4 Pb 3.49-3.63, 1 Na 3.65
Pb 0.7468 0.7468 0.7597  8 Sr 3.48-3.63
Pb 0.2532 0.2532 0.2403  8 Sr 3.48-3.63
Na 0.0000 0.0000 0.0000  8 Sr 3.61-3.65, 6 Pb 4.04

Summary:
E_form	-286	kJ/mol of formula units
E_tot	-2.632	eV/atom

No. 4
VASP calculation (GGA-PBE) on TiMn2VCo after structural relaxation.

Lattice parameters (Å, degrees): 4.1627 4.3098 4.1627 90.00 90.00 90.00
Closest atoms and distances in Å follow each position.
Sites, in units of the cell vectors:
Mn 0.0000 0.0000 0.5000  2 Co 2.08
Mn 0.5000 0.0000 0.0000  2 Co 2.08
V 0.5000 0.5000 0.5000  4 Ti 2.94, 8 Mn 3.00
Co 0.0000 0.0000 0.0000  4 Mn 2.08, 2 Ti 2.15
Ti 0.0000 0.5000 0.0000  2 Co 2.15

Summary:
E_form	496	kJ/mol of formula units
E_tot	-7.465	eV/atom

No. 5
VASP calculation (GGA-PBE) on RePtW2 after structural relaxation.

Lattice parameters (Å, degrees): 4.8645 4.8645 4.8645 131.92 131.93 70.35
Closest atoms and distances in Å follow each position.
Sites, in units of the cell vectors:
Pt 0.5000 0.5000 0.0000  8 W 2.80-2.81, 4 Re 2.81
W 0.7500 0.2500 0.5000  4 Re 2.80, 4 W 2.81, 4 Pt 2.81
W 0.0000 0.0000 0.0000  4 Pt 2.80, 4 W 2.81, 4 Re 2.81
Re 0.2500 0.7500 0.5000  8 W 2.80-2.81, 4 Pt 2.81

Summary:
E_form	-4	kJ/mol of formula units
E_tot	-11.109	eV/atom

No. 6
VASP calculation (GGA-PBE) on YInHg4 after structural relaxation.

Lattice parameters (Å, degrees): 3.9618 3.9618 9.7894 94.33 94.32 87.89
Closest atoms and distances in Å follow each position.
Sites, in units of the cell vectors:
Y 0.0000 0.5000 0.5000  10 Hg 3.18-3.39
In 0.5000 0.0000 0.0000  10 Hg 3.11-3.47
Hg 0.5088 0.0094 0.6678  5 Hg 3.11-3.43, 4 Y 3.18-3.39, 1 In 3.26
Hg 0.9941 0.4930 0.1678  4 In 3.11-3.47, 5 Hg 3.11-3.43, 1 Y 3.25
Hg 0.0059 0.5070 0.8322  4 In 3.11-3.47, 5 Hg 3.11-3.43, 1 Y 3.25
Hg 0.4912 0.9906 0.3322  5 Hg 3.11-3.43, 4 Y 3.18-3.39, 1 In 3.26

Summary:
E_form	-103	kJ/mol of formula units
E_tot	-1.912	eV/atom

No. 7
VASP calculation (GGA-PBE) on BaHfRe2Ni after structural relaxation.

Lattice parameters (Å, degrees): 4.8175 4.7108 4.8175 90.00 90.00 90.00
Closest atoms and distances in Å follow each position.
Sites, in units of the cell vectors:
Hf 0.0000 0.5000 0.0000  2 Ni 2.36
Ni 0.0000 0.0000 0.0000  2 Hf 2.36, 4 Re 2.41
Ba 0.5000 0.5000 0.5000  8 Re 3.37, 4 Hf 3.41
Re 0.5000 0.0000 0.0000  2 Ni 2.41
Re 0.0000 0.0000 0.5000  2 Ni 2.41

Summary:
E_form	600	kJ/mol of formula units
E_tot	-7.266	eV/atom

No. 8
VASP calculation (GGA-PBE) on SmCo6Si4 after structural relaxation.

Lattice parameters (Å, degrees): 3.6365 6.6165 6.6165 120.00 90.00 90.00
Closest atoms and distances in Å follow each position.
Sites, in units of the cell vectors:
Co 0.5000 0.2060 0.7940  4 Si 2.33, 2 Co 2.53
Co 0.0000 0.9317 0.4659  5 Si 2.30-2.37
Co 0.5000 0.5881 0.7940  4 Si 2.33, 2 Co 2.53
Co 0.0000 0.5341 0.4659  5 Si 2.30-2.37
Co 0.5000 0.2060 0.4119  4 Si 2.33, 2 Co 2.53
Co 0.0000 0.5341 0.0683  5 Si 2.30-2.37
Si 0.5000 0.7994 0.5988  6 Co 2.33-2.37
Si 0.5000 0.4012 0.2006  6 Co 2.33-2.37
Si 0.0000 0.3333 0.6667  9 Co 2.30-2.33
Si 0.5000 0.7994 0.2006  6 Co 2.33-2.37
Sm 0.0000 0.0000 0.0000  6 Si 2.93, 6 Co 2.98

Summary:
formation energy from raw total energies	-0.619	eV/atom
E_tot	-6.896	eV/atom

No. 9
VASP calculation (GGA-PBE) on NaHS2O6 after structural relaxation.

Lattice parameters (Å, degrees): 6.7408 7.0859 7.0859 86.59 72.92 72.92
Closest atoms and distances in Å follow each position.
Sites, in units of the cell vectors:
O 0.3428 0.2462 0.9118  1 H 1.21
O 0.8428 0.9118 0.2462  1 H 1.21
O 0.6701 0.2082 0.4702  1 S 1.46
O 0.3299 0.7918 0.5298  1 S 1.46
O 0.8486 0.8757 0.7700  1 S 1.50
O 0.6514 0.2300 0.1243  1 S 1.50
O 0.6572 0.7538 0.0882  1 H 1.21
O 0.8299 0.5298 0.7918  1 S 1.46
O 0.1572 0.0882 0.7538  1 H 1.21
O 0.1514 0.1243 0.2300  1 S 1.50
O 0.3486 0.7700 0.8757  1 S 1.50
O 0.1701 0.4702 0.2082  1 S 1.46
H 0.2500 0.1630 0.8370  2 O 1.21
H 0.7500 0.8370 0.1630  2 O 1.21
S 0.7211 0.7353 0.8604  3 O 1.46-1.55
S 0.2789 0.2647 0.1396  3 O 1.46-1.55
S 0.2211 0.8604 0.7353  3 O 1.46-1.55
S 0.7789 0.1396 0.2647  3 O 1.46-1.55
Na 0.2500 0.7621 0.2379  4 O 2.32-2.46
Na 0.7500 0.2379 0.7621  4 O 2.32-2.46

Summary:
E_tot	-5.440	eV/atom

No. 10
VASP calculation (GGA-PBE) on CuRe2Si after structural relaxation.

Lattice parameters (Å, degrees): 2.7316 2.7316 8.5473 90.00 90.00 116.43
Closest atoms and distances in Å follow each position.
Sites, in units of the cell vectors:
Re 0.5000 0.5000 0.2610  2 Si 2.52, 6 Re 2.64-2.73
Re 0.0000 0.0000 0.0021  8 Re 2.64-2.88, 2 Cu 2.71
Si 0.0000 0.0000 0.5033  2 Cu 2.44, 2 Re 2.52
Cu 0.5000 0.5000 0.7336  2 Si 2.44, 2 Re 2.71

Summary:
formation energy from raw total energies	0.319	eV/atom
E_tot	-8.285	eV/atom

No. 11
VASP calculation (GGA-PBE) on GaCuGe after structural relaxation.

Lattice parameters (Å, degrees): 6.3926 4.3749 4.1066 89.85 71.12 69.95
Closest atoms and distances in Å follow each position.
Sites, in units of the cell vectors:
Ga 0.6354 0.2369 0.9641  1 Ga 2.52, 4 Cu 2.61-2.79, 2 Ge 2.70-2.72
Ga 0.1954 0.5531 0.1820  1 Ga 2.52, 4 Cu 2.61-2.78, 2 Ge 2.70-2.72
Cu 0.9159 0.2169 0.3241  2 Cu 2.57-2.58, 4 Ge 2.58-2.75, 4 Ga 2.61-2.78
Cu 0.9155 0.5727 0.8226  2 Cu 2.57-2.58, 4 Ge 2.58-2.75, 4 Ga 2.61-2.79
Ge 0.1855 0.9611 0.6884  4 Cu 2.58-2.75, 1 Ge 2.63, 2 Ga 2.70-2.72
Ge 0.6455 0.8287 0.4577  4 Cu 2.58-2.75, 1 Ge 2.63, 2 Ga 2.70-2.72

Summary:
E_form	20	kJ/mol of formula units
E_tot	-3.846	eV/atom

No. 12
VASP calculation (GGA-PBE) on Lu2Te3 after structural relaxation.

Lattice parameters (Å, degrees): 10.1493 10.1493 10.1493 60.00 60.00 60.00
Closest atoms and distances in Å follow each position.
Sites, in units of the cell vectors:
Te 0.5000 0.5000 0.0000  4 Lu 3.11
Te 0.0000 0.0000 0.5000  4 Lu 3.11
Te 0.7500 0.2500 0.7500  4 Lu 3.11
Te 0.5000 0.0000 0.5000  4 Lu 3.11
Te 0.0000 0.5000 0.5000  4 Lu 3.11
Te 0.7500 0.7500 0.2500  4 Lu 3.11
Te 0.5000 0.0000 0.0000  4 Lu 3.11
Te 0.2500 0.2500 0.7500  4 Lu 3.11
Te 0.7500 0.2500 0.2500  4 Lu 3.11
Te 0.2500 0.7500 0.2500  4 Lu 3.11
Te 0.0000 0.5000 0.0000  4 Lu 3.11
Te 0.2500 0.7500 0.7500  4 Lu 3.11
Lu 0.6250 0.1250 0.6250  6 Te 3.11
Lu 0.1250 0.6250 0.6250  6 Te 3.11
Lu 0.1250 0.6250 0.1250  6 Te 3.11
Lu 0.1250 0.1250 0.1250  6 Te 3.11
Lu 0.6250 0.6250 0.1250  6 Te 3.11
Lu 0.6250 0.6250 0.6250  6 Te 3.11
Lu 0.1250 0.1250 0.6250  6 Te 3.11
Lu 0.6250 0.1250 0.1250  6 Te 3.11

Summary:
formation energy from raw total energies	-0.823	eV/atom
E_tot	-4.516	eV/atom

No. 13
VASP calculation (GGA-PBE) on Ba7Te6 after structural relaxation.

Lattice parameters (Å, degrees): 13.8523 13.8523 13.8523 32.77 32.77 32.77
Closest atoms and distances in Å follow each position.
Sites, in units of the cell vectors:
Ba 0.5668 0.5668 0.0633  3 Te 3.37-3.46
Ba 0.0633 0.5668 0.5668  3 Te 3.37-3.46
Ba 0.4332 0.9367 0.4332  3 Te 3.37-3.46
Ba 0.5000 0.5000 0.5000  6 Ba 4.57, 6 Te 4.74
Ba 0.4332 0.4332 0.9367  3 Te 3.37-3.46
Ba 0.9367 0.4332 0.4332  3 Te 3.37-3.46
Ba 0.5668 0.0633 0.5668  3 Te 3.37-3.46
Te 0.7964 0.7964 0.7964  3 Ba 3.37
Te 0.6675 0.6675 0.6675  6 Ba 3.39-3.46
Te 0.9300 0.9300 0.9300  6 Ba 3.91
Te 0.3325 0.3325 0.3325  6 Ba 3.39-3.46
Te 0.2036 0.2036 0.2036  3 Ba 3.37
Te 0.0700 0.0700 0.0700  6 Ba 3.91

Summary:
formation energy from raw total energies	-1.022	eV/atom
E_tot	-3.507	eV/atom